# PBE TmPu5P6, relaxed
# - energy of formation from the pure elements (eV/atom) = -1.19
data_TmPu5P6
_cell_length_a 6.894
_cell_length_b 6.894
_cell_length_c 6.902
_cell_angle_alpha 99.61
_cell_angle_beta 99.61
_cell_angle_gamma 119.93
_space_group_name_H-M_alt 'P 1'
_space_group_IT_number 1
_space_group_name_Hall 'P 1'
loop_
_atom_site_label
_atom_site_type_symbol
_atom_site_fract_x
_atom_site_fract_y
_atom_site_fract_z
Tm1 Tm 0.000 0.000 0.000
Pu1 Pu 0.166 0.834 0.500
Pu2 Pu 0.334 0.666 0.000
Pu3 Pu 0.500 0.500 0.500
Pu4 Pu 0.666 0.334 0.000
Pu5 Pu 0.834 0.166 0.500
P1 P 0.081 0.418 0.248
P2 P 0.249 0.249 0.751
P3 P 0.418 0.081 0.248
P4 P 0.582 0.919 0.752
P5 P 0.751 0.751 0.249
P6 P 0.919 0.582 0.752

# PBE K2RbIrO6, relaxed
# - uncorrected formation energy (eV per formula unit) = -9.8
data_K2RbIrO6
_cell_length_a 6.276
_cell_length_b 6.276
_cell_length_c 6.276
_cell_angle_alpha 62.82
_cell_angle_beta 62.82
_cell_angle_gamma 62.82
_space_group_name_H-M_alt 'P 1'
_space_group_IT_number 1
_space_group_name_Hall 'P 1'
loop_
_atom_site_label
_atom_site_type_symbol
_atom_site_fract_x
_atom_site_fract_y
_atom_site_fract_z
K1 K 0.236 0.236 0.236
K2 K 0.764 0.764 0.764
Rb1 Rb 0.500 0.500 0.500
Ir1 Ir 0.000 0.000 0.000
O1 O 0.105 0.287 0.824
O2 O 0.176 0.895 0.713
O3 O 0.287 0.824 0.105
O4 O 0.713 0.176 0.895
O5 O 0.824 0.105 0.287
O6 O 0.895 0.713 0.176

# PBE AcCdAgSn2, relaxed
# - energy of formation from the pure elements (eV/atom) = -0.37
data_AcCdAgSn2
_cell_length_a 7.059
_cell_length_b 7.059
_cell_length_c 7.059
_cell_angle_alpha 141.23
_cell_angle_beta 141.23
_cell_angle_gamma 55.99
_space_group_name_H-M_alt 'P 1'
_space_group_IT_number 1
_space_group_name_Hall 'P 1'
loop_
_atom_site_label
_atom_site_type_symbol
_atom_site_fract_x
_atom_site_fract_y
_atom_site_fract_z
Ac1 Ac 0.000 0.000 0.000
Cd1 Cd 0.750 0.250 0.500
Ag1 Ag 0.250 0.750 0.500
Sn1 Sn 0.384 0.384 0.000
Sn2 Sn 0.616 0.616 0.000

# PBE CeEuAlIn, relaxed
# - energy of formation from the pure elements (eV/atom) = -0.28
data_CeEuAlIn
_cell_length_a 5.400
_cell_length_b 5.400
_cell_length_c 5.400
_cell_angle_alpha 60.00
_cell_angle_beta 60.00
_cell_angle_gamma 60.00
_space_group_name_H-M_alt 'P 1'
_space_group_IT_number 1
_space_group_name_Hall 'P 1'
loop_
_atom_site_label
_atom_site_type_symbol
_atom_site_fract_x
_atom_site_fract_y
_atom_site_fract_z
Ce1 Ce 0.000 0.000 0.000
Eu1 Eu 0.500 0.500 0.500
Al1 Al 0.250 0.250 0.250
In1 In 0.750 0.750 0.750

# PBE SmHoPd, relaxed
# - energy of formation from the pure elements (eV/atom) = -0.52
# - energy above the lowest structure with this stoichiometry (eV/atom) = 0.066
data_SmHoPd
_cell_length_a 6.624
_cell_length_b 6.624
_cell_length_c 7.191
_cell_angle_alpha 105.96
_cell_angle_beta 105.96
_cell_angle_gamma 31.36
_space_group_name_H-M_alt 'P 1'
_space_group_IT_number 1
_space_group_name_Hall 'P 1'
loop_
_atom_site_label
_atom_site_type_symbol
_atom_site_fract_x
_atom_site_fract_y
_atom_site_fract_z
Sm1 Sm 0.138 0.138 0.068
Sm2 Sm 0.862 0.862 0.932
Ho1 Ho 0.138 0.138 0.569
Ho2 Ho 0.862 0.862 0.431
Pd1 Pd 0.498 0.498 0.269
Pd2 Pd 0.502 0.502 0.731

# PBE CaH2RuN, relaxed
# - energy (eV/atom) = -5.742
data_CaH2RuN
_cell_length_a 3.663
_cell_length_b 3.663
_cell_length_c 3.861
_cell_angle_alpha 90.00
_cell_angle_beta 90.00
_cell_angle_gamma 90.00
_space_group_name_H-M_alt 'P 1'
_space_group_IT_number 1
_space_group_name_Hall 'P 1'
loop_
_atom_site_label
_atom_site_type_symbol
_atom_site_fract_x
_atom_site_fract_y
_atom_site_fract_z
Ca1 Ca 0.000 0.000 0.000
H1 H 0.000 0.500 0.500
H2 H 0.500 0.000 0.500
Ru1 Ru 0.500 0.500 0.500
N1 N 0.500 0.500 0.000

Number 1: total magnetization 14.68 μB/cell. Number 2: total magnetization 0.13 μB/cell. Number 3: total magnetization 0.00 μB/cell. Number 4: total magnetization 7.97 μB/cell. Number 5: total magnetization 0.00 μB/cell. Number 6: total magnetization 0.00 μB/cell.